{"formula": "ErS5Cl", "functional": "PBE", "state": "optimized geometry", "raw_formation_energy_kj_per_mol_atoms": -72.7, "vol_a3_per_cell": 207.90, "sg": "No. 1", "e_tot_ev_per_atom": -4.6171, "lattice_angstrom": [[-1.028, -3.782, -1.515], [3.456, -1.857, 2.262], [-9.383, 1.945, 7.138]], "species": ["Er", "S", "S", "S", "S", "S", "Cl"], "frac_coords": [[0.774, 0.321, 0.638], [0.939, 0.238, 0.144], [0.195, 0.508, 0.077], [0.261, 0.966, 0.212], [0.336, 0.709, 0.767], [0.317, 0.123, 0.725], [0.708, 0.667, 0.499]]}